4
Lattice="4.951 0.000 0.000 0.000 4.951 0.000 0.000 0.000 4.802" Properties=species:S:1:pos:R:3 comment="EuHo2In (GGA-PBE, optimized geometry)" spacegroup="P4/mmm (123)" magnetic_moment_mub_per_fu=7.62 polymorph_energy_mev_per_atom=0 e_form_ev_per_atom=-0.2061 vol_a3_per_cell=117.7 final_energy_ev_per_fu=-23.0 pbc="T T T"
Eu 0.000 0.000 0.000
Ho 0.000 2.476 2.401
Ho 2.476 0.000 2.401
In 2.476 2.476 0.000